ThAgGeN | PBE | optimized geometry

The structure in extended XYZ format:
```
4
Lattice="3.324 0.000 0.000 0.000 3.324 0.000 -1.662 -1.662 7.001" Properties=species:S:1:pos:R:3 pbc="T T T"
Th 1.662 1.662 1.571
Ag 0.000 0.000 4.484
Ge 1.662 1.662 5.935
N 0.000 0.000 2.181
```

Computed properties:
V: 77.4 Å³/cell
Formation energy (no corrections): -0.50 eV/atom
Mass density: 9.16 g/cm3
E_tot: -6.303 eV/atom
Total magnetization: 0.00 μB per atom